PBE KNbRe, optimized geometry; total magnetization = 0.118 μB/cell; uncorrected energy = -14.03 eV per cell
1.0
0.0000 3.1907 3.1907
3.1907 0.0000 3.1907
3.1907 3.1907 0.0000
K Nb Re
1 1 1
Direct
0.0000 0.0000 0.0000 K
0.7500 0.7500 0.7500 Nb
0.2500 0.2500 0.2500 Re